No. 1
# BaCo2Pt

Crystalline BaCo2Pt at its relaxed geometry (GGA-PBE, the Alexandria database).

Values from the calculation:
DOS at the Fermi energy	1.690	states/eV per atom
raw total energy	-5.14	eV per atom
M_tot	3.68	Bohr magnetons per cell
DFT formation energy	157	kJ/mol of formula units

The structure in extended XYZ format:
```
4
Lattice="3.330 0.000 0.000 0.000 3.330 0.000 0.000 0.000 7.130" Properties=species:S:1:pos:R:3 pbc="T T T"
Ba 0.000 0.000 0.000
Co 1.665 1.665 2.425
Co 1.665 1.665 4.705
Pt 0.000 0.000 3.565
```



No. 2
# Ba2CoPt2

Crystalline Ba2CoPt2 at its relaxed geometry (GGA-PBE, the Alexandria database).

Values from the calculation:
DOS at the Fermi energy	1.254	states/eV per atom
raw total energy	-4.74	eV per atom
M_tot	2.76	Bohr magnetons per cell
DFT formation energy	-62	kJ/mol of formula units

The structure in extended XYZ format:
```
10
Lattice="7.169 0.000 0.000 0.000 7.169 0.000 0.000 0.000 4.917" Properties=species:S:1:pos:R:3 pbc="T T T"
Ba 1.258 2.326 0.000
Ba 2.326 5.910 0.000
Ba 4.843 1.258 0.000
Ba 5.910 4.843 0.000
Co 0.000 0.000 2.458
Co 3.584 3.584 2.458
Pt 1.002 4.586 2.458
Pt 2.583 1.002 2.458
Pt 4.586 6.167 2.458
Pt 6.167 2.583 2.458
```



No. 3
# BaCoPt2

Crystalline BaCoPt2 at its relaxed geometry (GGA-PBE, the Alexandria database).

Values from the calculation:
DOS at the Fermi energy	1.321	states/eV per atom
raw total energy	-4.84	eV per atom
M_tot	2.03	Bohr magnetons per cell
DFT formation energy	170	kJ/mol of formula units

The structure in extended XYZ format:
```
4
Lattice="1.528 0.882 9.489 -1.528 0.882 9.489 0.000 -1.764 9.489" Properties=species:S:1:pos:R:3 pbc="T T T"
Ba 0.000 0.000 0.000
Co 0.000 0.000 14.234
Pt 0.000 0.000 6.669
Pt 0.000 0.000 21.799
```



No. 4
# BaCo4Pt

Crystalline BaCo4Pt at its relaxed geometry (GGA-PBE, the Alexandria database).

Values from the calculation:
DOS at the Fermi energy	1.764	states/eV per atom
raw total energy	-5.62	eV per atom
M_tot	7.43	Bohr magnetons per cell
DFT formation energy	256	kJ/mol of formula units

The structure in extended XYZ format:
```
6
Lattice="0.000 3.635 3.635 3.635 0.000 3.635 3.635 3.635 0.000" Properties=species:S:1:pos:R:3 pbc="T T T"
Ba 0.000 0.000 0.000
Co 4.525 2.744 2.744
Co 2.744 4.525 2.744
Co 2.744 2.744 4.525
Co 4.525 4.525 4.525
Pt 1.817 1.817 1.817
```